Record 1
Density functional theory data (PBE) for Rb2TbPaSe4 after structural relaxation.

The space group is P2/m (No. 10) and the conventional cell measures 7.3578, 4.2133 and 8.4324 Å, with angles of 90.00, 106.64 and 90.00 degrees. The asymmetric unit holds Rb at (0.0000, 0.0000, 0.0000), Rb at (0.5000, 0.5000, 0.0000), Tb at (0.0000, 0.5000, 0.5000), Pa at (0.5000, 0.0000, 0.5000), Se at (0.2338, 0.0000, 0.6983) and Se at (0.2657, 0.5000, 0.2995).

The calculation puts the total magnetic moment at 1.95 μB/f.u. For the uncorrected energy, the calculation gives -5.25 eV/atom. The value obtained for the uncorrected formation energy is -1497 meV per atom.

---

Record 2
Density functional theory data (PBE) for LiY3Tl4 after structural relaxation.

The space group is R-3m (No. 166, hexagonal axes) and the conventional cell measures 5.2433, 5.2433 and 26.4772 Å, with angles of 90.00, 90.00 and 120.00 degrees. The asymmetric unit holds Li at (0.0000, 0.0000, 0.0000), Y at (0.0000, 0.0000, 0.2546), Y at (0.0000, 0.0000, 0.5000), Tl at (0.0000, 0.0000, 0.1231) and Tl at (0.0000, 0.0000, 0.3729).

The calculation puts the energy relative to the elements at -2.80 eV/f.u. The calculation puts the total magnetic moment at 0.00 μB/f.u. For the uncorrected energy, the calculation gives -4.20 eV/atom.

---

Record 3
Density functional theory data (PBE) for HgPt2SeF after structural relaxation.

The space group is P4/mmm (No. 123) and the conventional cell measures 4.6468, 4.6468 and 5.4947 Å, with angles of 90.00, 90.00 and 90.00 degrees. The asymmetric unit holds Hg at (0.0000, 0.0000, 0.0000), Pt at (0.0000, 0.5000, 0.5000), Se at (0.0000, 0.0000, 0.5000) and F at (0.5000, 0.5000, 0.0000).

The calculation puts the total magnetic moment at 0.00 μB/f.u. For the uncorrected energy, the calculation gives -3.18 eV/atom. The value obtained for the uncorrected formation energy is 363 meV per atom.

---

What is the formula in the first record?
Rb2TbPaSe4

---

Which value of uncorrected energy does entry 1 give?
-5.25 eV/atom

---

Which formula does entry 2 have?
LiY3Tl4